# 1
20
Lattice="-6.040 1.622 3.339 2.990 -2.899 6.817 3.832 9.781 2.180" Properties=species:S:1:pos:R:3 comment="Tb3PmAl | Alexandria | PBE | optimized geometry" formation_enthalpy_0k_mev_per_atom=-35 n_ef_per_ev_fu=6.05 e_above_lowest_polymorph_ev_per_fu=0.33 volume_a3_per_cell=607.40 pbc="T T T"
Tb 0.100 3.262 4.574
Tb -4.507 2.278 4.246
Tb 0.271 2.059 9.582
Al 2.672 7.670 7.752
Al -0.792 4.896 10.361
Tb 0.511 6.445 2.754
Al -1.890 0.834 4.584
Pm 3.156 4.981 5.438
Tb 1.051 -0.152 4.541
Tb -1.770 0.111 7.578
Pm -1.550 1.888 1.656
Tb 0.682 5.242 7.762
Tb 2.497 1.955 6.875
Tb -0.269 8.656 7.795
Al 1.573 3.608 1.975
Pm 2.332 6.616 10.680
Tb 2.552 8.393 4.758
Tb 5.289 6.226 8.090
Tb -1.715 6.549 5.462
Pm -2.374 3.523 6.898

=====

# 2
10
Lattice="-1.023 1.828 2.919 -2.971 1.072 -1.713 -9.635 -16.046 6.672" Properties=species:S:1:pos:R:3 comment="Tb5PmAl4 | Alexandria | PBE | optimized geometry" formation_enthalpy_0k_mev_per_atom=-308 n_ef_per_ev_fu=7.74 volume_a3_per_cell=256.58 pbc="T T T"
Tb -8.588 -9.526 5.167
Pm 0.000 0.000 0.000
Tb -6.815 -6.573 3.939
Al -2.147 -3.576 1.487
Al -3.930 -6.544 2.721
Tb -3.264 -0.659 1.480
Al -5.706 -9.502 3.951
Al -7.488 -12.471 5.185
Tb -10.366 -12.487 6.398
Tb -5.042 -3.620 2.711

=====

# 3
7
Lattice="-3.222 0.040 1.733 -2.351 -2.768 -0.445 6.135 -10.119 15.504" Properties=species:S:1:pos:R:3 comment="Tb2Pm4Al | Alexandria | PBE | optimized geometry" formation_enthalpy_0k_mev_per_atom=-18 n_ef_per_ev_fu=10.13 volume_a3_per_cell=224.80 pbc="T T T"
Pm 1.473 -10.846 14.577
Tb -0.989 -8.010 9.934
Pm -0.911 -2.000 2.216
Tb 1.551 -4.837 6.859
Pm 3.916 -7.561 11.318
Al 0.000 0.000 0.000
Pm -3.354 -5.285 5.475

=====

# 4
11
Lattice="-1.465 -4.661 -1.703 2.835 -2.935 5.595 -8.109 4.603 2.237" Properties=species:S:1:pos:R:3 comment="Tb4Pm3Al4 | Alexandria | PBE | optimized geometry" formation_enthalpy_0k_mev_per_atom=-188 n_ef_per_ev_fu=11.80 volume_a3_per_cell=306.69 pbc="T T T"
Tb -5.427 1.198 1.391
Al -5.519 -1.812 1.846
Pm 1.418 -1.467 2.798
Tb -1.311 -4.191 4.739
Pm -5.218 -3.158 5.273
Al -0.174 -2.908 0.250
Al -1.220 -1.181 4.284
Tb -2.626 -2.830 2.144
Tb -4.113 -0.163 3.985
Pm -1.521 0.165 0.857
Al 1.544 -4.688 3.642

=====

# 5
11
Lattice="-0.747 -0.327 -3.467 -3.412 -8.438 1.530 -6.399 8.079 2.446" Properties=species:S:1:pos:R:3 comment="Tb3Pm4Al4 | Alexandria | PBE | optimized geometry" formation_enthalpy_0k_mev_per_atom=-224 n_ef_per_ev_fu=9.81 volume_a3_per_cell=307.90 pbc="T T T"
Pm -4.269 -1.658 -0.754
Pm -5.486 -4.667 -0.208
Tb -8.968 -1.379 0.232
Tb -1.590 0.693 0.277
Pm -6.290 0.972 1.263
Tb -1.706 -4.219 0.765
Pm -5.073 3.982 0.717
Al -4.185 1.499 -1.069
Al -1.127 -2.028 -1.395
Al -3.032 -6.736 -0.541
Al -6.373 -2.184 1.578

=====

# 6
18
Lattice="-4.158 4.620 0.777 -2.051 -0.595 -7.439 -4.809 -8.917 2.039" Properties=species:S:1:pos:R:3 comment="Tb3Pm2Al4 | Alexandria | PBE | optimized geometry" formation_enthalpy_0k_mev_per_atom=-209 n_ef_per_ev_fu=9.84 volume_a3_per_cell=477.46 pbc="T T T"
Al -8.270 -4.752 -3.379
Al -6.892 -2.298 2.029
Tb 0.000 0.000 0.000
Pm -5.139 0.607 -5.858
Al -4.126 -2.594 -6.652
Tb -4.981 -2.282 -0.457
Al -6.192 -7.062 -3.767
Tb -3.959 -4.920 -4.554
Pm -2.455 -1.528 -4.052
Al -5.811 -4.897 -1.977
Pm -8.563 -3.364 -0.571
Al -4.827 2.170 -0.856
Al -2.748 -0.140 -1.244
Pm -5.879 -5.499 1.236
Tb -7.060 0.028 -0.069
Tb -6.038 -2.610 -4.166
Al -5.207 0.005 -2.646
Tb -3.104 2.013 -3.331

=====

# 7
8
Lattice="4.879 0.000 0.000 0.000 4.879 0.000 0.000 0.000 10.042" Properties=species:S:1:pos:R:3 comment="Tb6PmAl | Alexandria | PBE | optimized geometry" formation_enthalpy_0k_mev_per_atom=-61 n_ef_per_ev_fu=9.16 volume_a3_per_cell=239.06 pbc="T T T"
Tb 0.000 2.440 7.400
Al 0.000 0.000 5.021
Tb 2.440 2.440 0.000
Tb 2.440 2.440 5.021
Tb 2.440 0.000 2.642
Pm 0.000 0.000 0.000
Tb 0.000 2.440 2.642
Tb 2.440 0.000 7.400

=====

# 8
9
Lattice="-0.358 -2.323 2.649 1.791 -5.942 -4.969 5.776 3.696 4.022" Properties=species:S:1:pos:R:3 comment="Tb2PmAl6 | Alexandria | PBE | optimized geometry" formation_enthalpy_0k_mev_per_atom=-490 n_ef_per_ev_fu=4.05 e_above_lowest_polymorph_ev_per_fu=0.00 volume_a3_per_cell=193.86 pbc="T T T"
Tb 4.448 0.483 1.025
Tb 2.761 -5.053 0.677
Al 4.855 -2.656 0.695
Al 6.789 -1.419 2.041
Al 0.420 -3.150 -0.338
Al 2.354 -1.913 1.008
Pm 5.776 3.696 4.022
Al 1.754 0.075 2.671
Al 3.664 1.297 4.001

=====

# 9
10
Lattice="3.665 0.000 0.000 0.000 3.665 0.000 0.000 0.000 20.143" Properties=species:S:1:pos:R:3 comment="TbPm5Al4 | Alexandria | PBE | optimized geometry" formation_enthalpy_0k_mev_per_atom=-275 n_ef_per_ev_fu=7.36 volume_a3_per_cell=270.59 pbc="T T T"
Al 0.000 0.000 11.958
Pm 1.833 1.833 17.595
Tb 0.000 0.000 0.000
Pm 1.833 1.833 2.548
Al 0.000 0.000 8.185
Pm 1.833 1.833 13.843
Pm 1.833 1.833 10.072
Pm 1.833 1.833 6.300
Al 0.000 0.000 15.748
Al 0.000 0.000 4.395

=====

# 10
10
Lattice="3.651 0.000 -0.489 0.000 5.218 0.000 -0.028 0.000 13.674" Properties=species:S:1:pos:R:3 comment="Tb2PmAl2 | Alexandria | PBE | optimized geometry" formation_enthalpy_0k_mev_per_atom=-299 n_ef_per_ev_fu=3.43 e_above_lowest_polymorph_ev_per_fu=0.00 volume_a3_per_cell=260.44 pbc="T T T"
Tb 0.836 3.914 6.254
Al 2.330 3.914 3.539
Tb 3.455 1.305 11.920
Al 1.294 1.305 9.646
Al 1.996 1.305 1.032
Pm 3.111 3.914 9.317
Tb 2.788 1.305 6.931
Al 1.627 3.914 12.153
Pm 0.512 1.305 3.867
Tb 0.169 3.914 1.265

=====

# 11
8
Lattice="5.315 0.000 0.000 0.000 6.939 0.000 0.000 -3.463 6.013" Properties=species:S:1:pos:R:3 comment="Tb2PmAl | Alexandria | PBE | optimized geometry" formation_enthalpy_0k_mev_per_atom=-191 n_ef_per_ev_fu=3.84 e_above_lowest_polymorph_ev_per_fu=0.00 volume_a3_per_cell=221.76 pbc="T T T"
Al 2.657 3.478 2.000
Pm 2.657 1.634 4.949
Pm 2.657 0.003 2.127
Tb 2.657 -1.627 4.952
Tb 0.000 5.112 1.056
Al 0.000 -0.026 4.026
Tb 0.000 1.845 1.051
Tb 0.000 3.486 3.890

=====

# 12
12
Lattice="-2.848 1.178 4.705 -3.305 -8.014 3.368 4.251 -1.030 6.193" Properties=species:S:1:pos:R:3 comment="TbPm7Al4 | Alexandria | PBE | optimized geometry" formation_enthalpy_0k_mev_per_atom=-67 n_ef_per_ev_fu=13.39 volume_a3_per_cell=348.76 pbc="T T T"
Pm -2.894 -6.664 10.003
Pm -1.125 -5.101 3.959
Al 0.037 -5.575 11.505
Pm -2.161 -2.247 5.979
Tb 0.000 0.000 0.000
Pm 0.991 -1.202 4.263
Al 0.423 -1.946 7.467
Al -1.940 -2.291 2.762
Pm -0.778 -2.765 10.308
Al -2.325 -5.920 6.799
Pm 0.259 -5.619 8.288
Pm -1.424 0.589 2.353